# 1
Below is a relaxed PuNpCoPd crystal, with properties calculated at the PBE-GGA level.

Cell: 6.3736 6.3736 6.3736 Å, 90.00 90.00 90.00°
Space group F-43m (No. 216)
Asymmetric unit:
Pu 0.0000 0.0000 0.0000 (multiplicity 4)
Np 0.2500 0.2500 0.2500 (multiplicity 4)
Co 0.0000 0.0000 0.5000 (multiplicity 4)
Pd 0.2500 0.2500 0.7500 (multiplicity 4)

For the total magnetization, the calculation gives 8.9 μB/cell. Its raw total energy is -10.0444 eV/atom. For the formation energy, the calculation gives -151.6 meV per atom.

---

# 2
Below is a relaxed PrHfIn crystal, with properties calculated at the PBE-GGA level.

Cell: 6.3119 6.3098 9.0605 Å, 90.00 110.28 90.00°
Space group C2/m (No. 12)
Asymmetric unit:
Pr 0.1735 0.0000 0.3487 (multiplicity 4)
Hf 0.2500 0.2500 0.0000 (multiplicity 4)
In 0.1226 0.5000 0.2468 (multiplicity 4)

For the total magnetization, the calculation gives 2.5 μB/cell. Its raw total energy is -6.0011 eV/atom. For the formation energy, the calculation gives -177.3 meV per atom.

---

- What is the formula in the first record?
  PuNpCoPd

---

- Look up the raw total energy of the first one.
  -10.0444 eV/atom